The following is a DFT calculation (GGA-PBE) of an optimized crystal structure of GaHgPt2.

The structure belongs to space group R3m (No. 160, hexagonal axes); the cell edges are 4.0642, 4.0642 and 15.6702 Å and the angles 90.00°, 90.00° and 120.00°. The asymmetric unit holds Ga at (0.0000, 0.0000, 0.0000), Hg at (0.0000, 0.0000, 0.8225), Pt at (0.0000, 0.0000, 0.3884) and Pt at (0.0000, 0.0000, 0.5983).

As for the density: 14.68 g/cm³. The calculation puts the energy of formation at -0.235 eV/atom. The value obtained for the magnetization is 0.00 μB/atom. The value obtained for the relative energy among the computed polymorphs is 7.7 kJ per mole of atoms.


The following is a DFT calculation (GGA-PBE) of an optimized crystal structure of Sm6TlAu5.

The structure belongs to space group Immm (No. 71); the cell edges are 5.2124, 7.4764 and 15.6637 Å and the angles 90.00°, 90.00° and 90.00°. The asymmetric unit holds Sm at (0.0000, 0.2372, 0.0000), Sm at (0.0000, 0.2555, 0.3290), Tl at (0.0000, 0.0000, 0.5000), Au at (0.0000, 0.0000, 0.1677), Au at (0.0000, 0.5000, 0.1578) and Au at (0.0000, 0.5000, 0.5000).

As for the density: 11.38 g/cm³. The calculation puts the energy of formation at -0.713 eV/atom. The value obtained for the magnetization is 0.00 μB/atom.


The following is a DFT calculation (GGA-PBE) of an optimized crystal structure of Ba7Sb6.

The structure belongs to space group R-3m (No. 166, hexagonal axes); the cell edges are 7.8665, 7.8665 and 33.9061 Å and the angles 90.00°, 90.00° and 120.00°. The asymmetric unit holds Ba at (0.0000, 0.0000, 0.0000), Ba at (0.0119, 0.5059, 0.4280), Sb at (0.0000, 0.0000, 0.1647), Sb at (0.0000, 0.0000, 0.3307) and Sb at (0.0000, 0.0000, 0.4150).

As for the density: 4.64 g/cm³. The formation energy from raw total energies comes out at -0.407 eV per atom. The value obtained for the magnetization is 0.03 μB/atom.


The following is a DFT calculation (GGA-PBE) of an optimized crystal structure of Ga2CuB.

The structure belongs to space group I-42d (No. 122); the cell edges are 5.1383, 5.1383 and 10.8577 Å and the angles 90.00°, 90.00° and 90.00°. The asymmetric unit holds Ga at (0.1716, 0.2500, 0.1250), Cu at (0.0000, 0.0000, 0.5000) and B at (0.0000, 0.0000, 0.0000).

As for the density: 4.95 g/cm³. The calculation puts the energy of formation at 0.569 eV/atom. The value obtained for the magnetization is 0.00 μB/atom.


Question: Which of these has the highest magnetization?
Answer: Ba7Sb6